Entry i
This record from the Alexandria database describes an optimized crystal structure of OsRhSe. The functional is PBE.

Unit cell a=2.9190 b=2.9190 c=6.1839 alpha=90.00 beta=90.00 gamma=120.00
Space group P3m1 (No. 156)
Asymmetric unit:
Os (0.0000, 0.0000, 0.0000) x1
Rh (0.3333, 0.6667, 0.3480) x1
Se (0.6667, 0.3333, 0.6892) x1

Values from the calculation:
For the total magnetization, the calculation gives 0.00 μB per formula unit.

=====

Entry ii
This record from the Alexandria database describes an optimized crystal structure of OsRhSe. The functional is PBE.

Unit cell a=2.8021 b=4.8221 c=13.9280 alpha=90.00 beta=90.00 gamma=90.00
Space group Fmm2 (No. 42)
Asymmetric unit:
Os (0.0000, 0.0000, 0.0000) x4
Rh (0.0000, 0.0000, 0.6588) x4
Se (0.0000, 0.0000, 0.3336) x4

Values from the calculation:
For the total magnetization, the calculation gives 0.00 μB per formula unit.

=====

Most stable structure - entry i; separation to the second - 0.289 eV/atom.

=====

Entry i
This record from the Alexandria database describes an optimized crystal structure of OsRhSe. The functional is PBE.

Unit cell a=2.9018 b=2.9018 c=11.1085 alpha=90.00 beta=90.00 gamma=90.00
Space group I4mm (No. 107)
Asymmetric unit:
Os (0.0000, 0.0000, 0.0000) x2
Rh (0.0000, 0.0000, 0.3420) x2
Se (0.0000, 0.0000, 0.6482) x2

Values from the calculation:
For the total magnetization, the calculation gives 0.00 μB per formula unit.

=====

Entry ii
This record from the Alexandria database describes an optimized crystal structure of OsRhSe. The functional is PBE.

Unit cell a=12.6270 b=2.9641 c=5.1339 alpha=90.00 beta=90.00 gamma=90.00
Space group Amm2 (No. 38)
Asymmetric unit:
Os (0.1681, 0.0000, 0.0000) x4
Rh (0.0000, 0.0000, 0.3333) x2
Rh (0.5000, 0.0000, 0.3346) x2
Se (0.3114, 0.0000, 0.3334) x4

Values from the calculation:
For the total magnetization, the calculation gives 0.00 μB per formula unit.

=====

Entry iii
This record from the Alexandria database describes an optimized crystal structure of OsRhSe. The functional is PBE.

Unit cell a=5.9493 b=5.9493 c=5.9493 alpha=90.00 beta=90.00 gamma=90.00
Space group F-43m (No. 216)
Asymmetric unit:
Os (0.0000, 0.0000, 0.0000) x4
Rh (0.2500, 0.2500, 0.2500) x4
Se (0.2500, 0.2500, 0.7500) x4

Values from the calculation:
For the total magnetization, the calculation gives 0.00 μB per formula unit.

=====

Most stable structure - entry ii; separation to the second - 0.016 eV/atom.

=====

Entry i
This record from the Alexandria database describes an optimized crystal structure of SiOsRh. The functional is PBE.

Unit cell a=2.8608 b=4.4852 c=6.6780 alpha=90.00 beta=90.00 gamma=90.00
Space group Imm2 (No. 44)
Asymmetric unit:
Si (0.0000, 0.0000, 0.0000) x2
Os (0.0000, 0.5000, 0.7921) x2
Rh (0.0000, 0.5000, 0.2036) x2

Values from the calculation:
For the total magnetization, the calculation gives 0.00 μB per formula unit.

=====

Entry ii
This record from the Alexandria database describes an optimized crystal structure of SiOsRh. The functional is PBE.

Unit cell a=3.9841 b=3.9841 c=5.6631 alpha=90.00 beta=90.00 gamma=90.00
Space group P4/nmm (No. 129, origin choice 2)
Asymmetric unit:
Si (0.2500, 0.2500, 0.2478) x2
Os (0.2500, 0.7500, 0.5000) x2
Rh (0.2500, 0.7500, 0.0000) x2

Values from the calculation:
For the total magnetization, the calculation gives 0.00 μB per formula unit.

=====

Entry iii
This record from the Alexandria database describes an optimized crystal structure of SiOsRh. The functional is PBE.

Unit cell a=5.6446 b=5.6446 c=5.6446 alpha=90.00 beta=90.00 gamma=90.00
Space group F-43m (No. 216)
Asymmetric unit:
Si (0.0000, 0.0000, 0.0000) x4
Os (0.2500, 0.2500, 0.2500) x4
Rh (0.2500, 0.2500, 0.7500) x4

Values from the calculation:
For the total magnetization, the calculation gives 0.00 μB per formula unit.

=====

Most stable structure - entry ii; separation to the second - 0.026 eV/atom.

=====

Entry i
This record from the Alexandria database describes an optimized crystal structure of SiOsRh. The functional is PBE.

Unit cell a=2.7888 b=2.7888 c=6.0936 alpha=90.00 beta=90.00 gamma=120.00
Space group P3m1 (No. 156)
Asymmetric unit:
Si (0.0000, 0.0000, 0.0000) x1
Os (0.6667, 0.3333, 0.3091) x1
Rh (0.3333, 0.6667, 0.6950) x1

Values from the calculation:
For the total magnetization, the calculation gives 0.00 μB per formula unit.

=====

Entry ii
This record from the Alexandria database describes an optimized crystal structure of SiOsRh. The functional is PBE.

Unit cell a=2.7231 b=3.8045 c=8.1674 alpha=90.00 beta=90.00 gamma=90.00
Space group Amm2 (No. 38)
Asymmetric unit:
Si (0.0000, 0.0000, 0.0000) x2
Os (0.0000, 0.0000, 0.6876) x2
Rh (0.5000, 0.0000, 0.3901) x2

Values from the calculation:
For the total magnetization, the calculation gives 0.00 μB per formula unit.

=====

Entry iii
This record from the Alexandria database describes an optimized crystal structure of SiOsRh. The functional is PBE.

Unit cell a=2.8784 b=2.8784 c=9.7749 alpha=90.00 beta=90.00 gamma=90.00
Space group I4mm (No. 107)
Asymmetric unit:
Si (0.0000, 0.0000, 0.0000) x2
Os (0.0000, 0.0000, 0.6439) x2
Rh (0.0000, 0.0000, 0.3495) x2

Values from the calculation:
For the total magnetization, the calculation gives 0.00 μB per formula unit.

=====

Entry iv
This record from the Alexandria database describes an optimized crystal structure of SiOsRh. The functional is PBE.

Unit cell a=2.8824 b=4.7496 c=12.3699 alpha=90.00 beta=90.00 gamma=90.00
Space group Fmm2 (No. 42)
Asymmetric unit:
Si (0.0000, 0.0000, 0.0000) x4
Os (0.0000, 0.0000, 0.3476) x4
Rh (0.0000, 0.0000, 0.6498) x4

Values from the calculation:
For the total magnetization, the calculation gives 0.00 μB per formula unit.

=====

Most stable structure - entry iii; separation to the second - 0.012 eV/atom.

=====

Entry i
This record from the Alexandria database describes an optimized crystal structure of Sn2OsRh2. The functional is PBE.

Unit cell a=3.5085 b=3.5085 c=15.1864 alpha=90.00 beta=90.00 gamma=90.00
Space group I4/mmm (No. 139)
Asymmetric unit:
Sn (0.0000, 0.0000, 0.1044) x4
Os (0.0000, 0.0000, 0.5000) x2
Rh (0.0000, 0.5000, 0.2500) x4

Values from the calculation:
For the total magnetization, the calculation gives 0.00 μB per formula unit.

=====

Entry ii
This record from the Alexandria database describes an optimized crystal structure of Sn2OsRh2. The functional is PBE.

Unit cell a=7.5891 b=7.5891 c=2.9865 alpha=90.00 beta=90.00 gamma=90.00
Space group P4/mbm (No. 127)
Asymmetric unit:
Sn (0.1569, 0.3431, 0.0000) x4
Os (0.0000, 0.0000, 0.0000) x2
Rh (0.1420, 0.6420, 0.5000) x4

Values from the calculation:
For the total magnetization, the calculation gives 0.64 μB per formula unit.

=====

Most stable structure - entry ii; separation to the second - 0.328 eV/atom.

=====

Entry i
This record from the Alexandria database describes an optimized crystal structure of Sr2OsRh. The functional is PBE.

Unit cell a=3.2677 b=3.2677 c=8.6547 alpha=90.00 beta=90.00 gamma=90.00
Space group P4/mmm (No. 123)
Asymmetric unit:
Sr (0.0000, 0.0000, 0.2388) x2
Os (0.5000, 0.5000, 0.5000) x1
Rh (0.5000, 0.5000, 0.0000) x1

Values from the calculation:
For the total magnetization, the calculation gives 1.32 μB per formula unit.

=====

Entry ii
This record from the Alexandria database describes an optimized crystal structure of Sr2OsRh. The functional is PBE.

Unit cell a=7.2259 b=7.2259 c=7.2259 alpha=90.00 beta=90.00 gamma=90.00
Space group Fm-3m (No. 225)
Asymmetric unit:
Sr (0.2500, 0.2500, 0.2500) x8
Os (0.0000, 0.0000, 0.0000) x4
Rh (0.0000, 0.0000, 0.5000) x4

Values from the calculation:
For the total magnetization, the calculation gives 0.00 μB per formula unit.

=====

Entry iii
This record from the Alexandria database describes an optimized crystal structure of Sr2OsRh. The functional is PBE.

Unit cell a=6.8451 b=8.6604 c=3.0891 alpha=90.00 beta=90.00 gamma=90.00
Space group Cmmm (No. 65)
Asymmetric unit:
Sr (0.2500, 0.2500, 0.0000) x4
Os (0.0000, 0.0000, 0.5000) x2
Rh (0.0000, 0.5000, 0.5000) x2

Values from the calculation:
For the total magnetization, the calculation gives 0.19 μB per formula unit.

=====

Entry iv
This record from the Alexandria database describes an optimized crystal structure of Sr2OsRh. The functional is PBE.

Unit cell a=3.1677 b=3.8323 c=8.9046 alpha=90.00 beta=90.00 gamma=90.00
Space group Pmm2 (No. 25)
Asymmetric unit:
Sr (0.0000, 0.0000, 0.0000) x1
Sr (0.5000, 0.5000, 0.4166) x1
Os (0.0000, 0.0000, 0.6640) x1
Rh (0.5000, 0.5000, 0.7552) x1

Values from the calculation:
For the total magnetization, the calculation gives 0.00 μB per formula unit.

=====

Most stable structure - entry iv; separation to the second - 0.243 eV/atom.

=====

Entry i
This record from the Alexandria database describes an optimized crystal structure of Sr2OsRh. The functional is PBE.

Unit cell a=9.4391 b=3.1077 c=6.2793 alpha=90.00 beta=97.32 gamma=90.00
Space group C2/m (No. 12)
Asymmetric unit:
Sr (0.2487, 0.0000, 0.2474) x4
Os (0.0000, 0.0000, 0.5000) x2
Rh (0.0000, 0.5000, 0.0000) x2

Values from the calculation:
For the total magnetization, the calculation gives 0.00 μB per formula unit.

=====

Entry ii
This record from the Alexandria database describes an optimized crystal structure of Sr2OsRh. The functional is PBE.

Unit cell a=4.7341 b=4.7341 c=4.1941 alpha=90.00 beta=90.00 gamma=90.00
Space group P4/mmm (No. 123)
Asymmetric unit:
Sr (0.0000, 0.5000, 0.0000) x2
Os (0.0000, 0.0000, 0.5000) x1
Rh (0.5000, 0.5000, 0.5000) x1

Values from the calculation:
For the total magnetization, the calculation gives 1.27 μB per formula unit.

=====

Most stable structure - entry ii; separation to the second - 0.124 eV/atom.

=====

Entry i
This record from the Alexandria database describes an optimized crystal structure of Sr2Os2Rh. The functional is PBE.

Unit cell a=6.7089 b=6.7089 c=5.0212 alpha=90.00 beta=90.00 gamma=90.00
Space group P4/mbm (No. 127)
Asymmetric unit:
Sr (0.1816, 0.3184, 0.0000) x4
Os (0.1221, 0.6221, 0.5000) x4
Rh (0.0000, 0.0000, 0.5000) x2

Values from the calculation:
For the total magnetization, the calculation gives 0.00 μB per formula unit.

=====

Entry ii
This record from the Alexandria database describes an optimized crystal structure of Sr2Os2Rh. The functional is PBE.

Unit cell a=4.3723 b=4.3723 c=13.1052 alpha=90.00 beta=90.00 gamma=90.00
Space group I4/mmm (No. 139)
Asymmetric unit:
Sr (0.0000, 0.5000, 0.2500) x4
Os (0.0000, 0.0000, 0.0864) x4
Rh (0.0000, 0.0000, 0.5000) x2

Values from the calculation:
For the total magnetization, the calculation gives 3.97 μB per formula unit.

=====

Most stable structure - entry i; separation to the second - 1.395 eV/atom.

=====

Entry i
This record from the Alexandria database describes an optimized crystal structure of SrOs3Rh. The functional is PBE.

Unit cell a=4.7824 b=4.7824 c=4.7824 alpha=90.00 beta=90.00 gamma=90.00
Space group Pm-3m (No. 221)
Asymmetric unit:
Sr (0.0000, 0.0000, 0.0000) x1
Os (0.0000, 0.5000, 0.5000) x3
Rh (0.5000, 0.5000, 0.5000) x1

Values from the calculation:
For the total magnetization, the calculation gives 0.00 μB per formula unit.

=====

Entry ii
This record from the Alexandria database describes an optimized crystal structure of SrOs3Rh. The functional is PBE.

Unit cell a=4.7222 b=4.7222 c=4.7222 alpha=90.00 beta=90.00 gamma=90.00
Space group Pm-3m (No. 221)
Asymmetric unit:
Sr (0.0000, 0.0000, 0.0000) x1
Os (0.0000, 0.0000, 0.5000) x3
Rh (0.5000, 0.5000, 0.5000) x1

Values from the calculation:
For the total magnetization, the calculation gives 0.00 μB per formula unit.

=====

Most stable structure - entry i; separation to the second - 2.055 eV/atom.

=====

Entry i
This record from the Alexandria database describes an optimized crystal structure of SrOsRh3. The functional is PBE.

Unit cell a=4.8049 b=4.8049 c=4.8049 alpha=90.00 beta=90.00 gamma=90.00
Space group Pm-3m (No. 221)
Asymmetric unit:
Sr (0.0000, 0.0000, 0.0000) x1
Os (0.5000, 0.5000, 0.5000) x1
Rh (0.0000, 0.0000, 0.5000) x3

Values from the calculation:
For the total magnetization, the calculation gives 4.55 μB per formula unit.

=====

Entry ii
This record from the Alexandria database describes an optimized crystal structure of SrOsRh3. The functional is PBE.

Unit cell a=4.7980 b=4.7980 c=4.7980 alpha=90.00 beta=90.00 gamma=90.00
Space group Pm-3m (No. 221)
Asymmetric unit:
Sr (0.0000, 0.0000, 0.0000) x1
Os (0.5000, 0.5000, 0.5000) x1
Rh (0.0000, 0.5000, 0.5000) x3

Values from the calculation:
For the total magnetization, the calculation gives 0.00 μB per formula unit.

=====

Most stable structure - entry ii; separation to the second - 1.985 eV/atom.

=====

Entry i
This record from the Alexandria database describes an optimized crystal structure of TaOsRh2. The functional is PBE.

Unit cell a=9.1985 b=2.8377 c=4.7237 alpha=90.00 beta=100.92 gamma=90.00
Space group C2/m (No. 12)
Asymmetric unit:
Ta (0.0000, 0.0000, 0.0000) x2
Os (0.0000, 0.5000, 0.5000) x2
Rh (0.2473, 0.0000, 0.7418) x4

Values from the calculation:
For the total magnetization, the calculation gives 0.00 μB per formula unit.

=====

Entry ii
This record from the Alexandria database describes an optimized crystal structure of TaOsRh2. The functional is PBE.

Unit cell a=5.4974 b=7.8242 c=2.7856 alpha=90.00 beta=90.00 gamma=90.00
Space group Cmmm (No. 65)
Asymmetric unit:
Ta (0.0000, 0.0000, 0.0000) x2
Os (0.0000, 0.5000, 0.0000) x2
Rh (0.2500, 0.2500, 0.5000) x4

Values from the calculation:
For the total magnetization, the calculation gives 0.00 μB per formula unit.

=====

Entry iii
This record from the Alexandria database describes an optimized crystal structure of TaOsRh2. The functional is PBE.

Unit cell a=2.7785 b=3.9074 c=5.5355 alpha=90.00 beta=90.00 gamma=90.00
Space group Pmmm (No. 47)
Asymmetric unit:
Ta (0.0000, 0.0000, 0.0000) x1
Os (0.0000, 0.0000, 0.5000) x1
Rh (0.5000, 0.5000, 0.2597) x2

Values from the calculation:
For the total magnetization, the calculation gives 0.00 μB per formula unit.

=====

Entry iv
This record from the Alexandria database describes an optimized crystal structure of TaOsRh2. The functional is PBE.

Unit cell a=2.7770 b=2.7770 c=7.8696 alpha=90.00 beta=90.00 gamma=90.00
Space group P4mm (No. 99)
Asymmetric unit:
Ta (0.0000, 0.0000, 0.0000) x1
Os (0.5000, 0.5000, 0.2696) x1
Rh (0.0000, 0.0000, 0.4981) x1
Rh (0.5000, 0.5000, 0.7535) x1

Values from the calculation:
For the total magnetization, the calculation gives 0.00 μB per formula unit.

=====

Most stable structure - entry ii; separation to the second - 0.021 eV/atom.